# 1
A relaxed KNpBi2 crystal. Source: Alexandria via LeMat-Bulk, functional PBE.

extended XYZ file:
```
4
Lattice="-0.1455 -1.8310 2.6353 -3.7418 -4.0266 -3.0044 5.0159 -3.2059 -1.9504" Properties=species:S:1:pos:R:3 pbc="T T T"
Bi -1.8709 -2.0133 -1.5022
Bi 2.5080 -1.6029 -0.9752
Np -0.0728 -0.9155 1.3176
K 0.5643 -4.5318 -1.1598
```

Output
Energy of formation = -15 meV per atom
Energy = -5.465 eV/atom
Magnetic moment = 4.55 μB/cell
SG = P4/mmm
Excess energy over the best structure of this formula in the dataset = 149.0 meV/atom

---

# 2
A relaxed Ac2PrMg5 crystal. Source: Alexandria via LeMat-Bulk, functional PBE.

extended XYZ file:
```
8
Lattice="5.4557 0.0000 0.0000 0.0000 5.4557 0.0000 -2.7279 -2.7279 8.1953" Properties=species:S:1:pos:R:3 pbc="T T T"
Mg 0.0000 2.7279 6.4097
Mg 0.0000 2.7279 1.7857
Ac 2.7279 2.7279 3.9213
Mg 2.7279 0.0000 1.7857
Pr 0.0000 0.0000 0.0000
Mg 2.7279 0.0000 6.4097
Ac 0.0000 0.0000 4.2740
Mg 2.7279 2.7279 0.0000
```

Output
Energy of formation = -69 meV per atom
Energy = -2.691 eV/atom
Magnetic moment = 0.00 μB/cell
SG = I4/mmm

---

# 3
A relaxed TiAl5V4 crystal. Source: Alexandria via LeMat-Bulk, functional PBE.

extended XYZ file:
```
10
Lattice="2.7049 0.0000 0.0000 0.0000 2.7049 0.0000 0.0000 0.0000 20.0374" Properties=species:S:1:pos:R:3 pbc="T T T"
V 0.0000 0.0000 11.9949
V 0.0000 0.0000 15.9530
V 0.0000 0.0000 8.0425
V 0.0000 0.0000 4.0844
Al 1.3525 1.3525 2.1205
Al 1.3525 1.3525 13.9746
Al 1.3525 1.3525 10.0187
Al 1.3525 1.3525 6.0628
Ti 0.0000 0.0000 0.0000
Al 1.3525 1.3525 17.9169
```

Output
Energy of formation = -255 meV per atom
Energy = -6.563 eV/atom
Magnetic moment = 0.00 μB/cell
SG = P4/mmm

---

# 4
A relaxed CaMn3Pb crystal. Source: Alexandria via LeMat-Bulk, functional PBE.

extended XYZ file:
```
5
Lattice="5.0414 0.0000 0.0000 0.0000 5.0414 0.0000 0.0000 0.0000 5.0414" Properties=species:S:1:pos:R:3 pbc="T T T"
Mn 0.0000 0.0000 2.5207
Mn 0.0000 2.5207 0.0000
Mn 2.5207 0.0000 0.0000
Pb 2.5207 2.5207 2.5207
Ca 0.0000 0.0000 0.0000
```

Output
Energy of formation = 1566 meV per atom
Energy = -5.078 eV/atom
Magnetic moment = 11.37 μB/cell
SG = Pm-3m
Excess energy over the best structure of this formula in the dataset = 619.7 meV/atom

---

# 5
A relaxed PmTmBeIr crystal. Source: Alexandria via LeMat-Bulk, functional PBE.

extended XYZ file:
```
4
Lattice="4.8848 0.0000 0.0000 2.4424 4.2304 0.0000 2.4424 1.4101 3.9884" Properties=species:S:1:pos:R:3 pbc="T T T"
Pm 7.3272 4.2304 2.9913
Tm 2.4424 1.4101 0.9971
Ir 0.0000 0.0000 0.0000
Be 4.8848 2.8202 1.9942
```

Output
Energy of formation = -344 meV per atom
Energy = -5.797 eV/atom
Magnetic moment = 0.00 μB/cell
SG = F-43m

---

# 6
A relaxed Sm7Mg2In2 crystal. Source: Alexandria via LeMat-Bulk, functional PBE.

extended XYZ file:
```
11
Lattice="-4.6330 -4.1127 -2.7252 3.1337 -6.6240 4.6651 -1.9221 3.1053 5.6981" Properties=species:S:1:pos:R:3 pbc="T T T"
In -3.6891 -4.1197 4.7162
Sm 0.0000 0.0000 0.0000
Sm -2.0454 -3.5861 7.6001
Sm -0.8748 -5.5825 5.0633
Sm 1.2317 -3.0824 6.1138
Sm -2.5465 -2.0488 2.5747
In 0.2677 -3.5116 2.9217
Sm -4.6530 -4.5490 1.5242
Mg -2.6853 1.0727 3.3264
Sm -1.3759 -4.0453 0.0379
Mg -0.7360 -8.7041 4.3116
```

Output
Energy of formation = 115 meV per atom
Energy = -3.676 eV/atom
Magnetic moment = 0.00 μB/cell
SG = Cmmm

---

What is the energy of formation in the fourth record? 1566 meV per atom